Density functional theory data (PBE-GGA) for an optimized crystal structure of Li8BiSb2.

Cell: 4.6163 6.7781 7.9729 Å, 115.17 106.76 89.99°
With the nearest neighbours (Å) after each atom.
Fractional coordinates of all 11 atoms:
Li1 0.9698 0.0302 0.5752  3 Sb 2.86-2.87, 1 Bi 2.90, 4 Li 3.02-3.07
Li2 0.9513 0.4849 0.5375  3 Sb 2.78-2.79, 5 Li 2.78-3.07, 1 Bi 3.10
Li3 0.3035 0.3638 0.2430  3 Sb 2.87, 1 Bi 2.90, 4 Li 3.02-3.07
Li4 0.7651 0.9978 0.1673  4 Li 2.78-3.02, 1 Sb 2.89, 2 Bi 2.94
Li5 0.5076 0.7397 0.6500  4 Li 2.78-3.02, 1 Sb 2.90, 2 Bi 2.94
Li6 0.1346 0.4940 0.9092  6 Li 2.81-3.05, 1 Bi 2.98
Li7 0.6363 0.2047 0.9093  2 Sb 2.78, 4 Li 2.88-3.03, 2 Bi 2.95
Li8 0.3221 0.8569 0.2808  5 Li 2.78-3.07, 3 Sb 2.78-2.79, 1 Bi 3.10
Sb1 0.4736 0.2843 0.5826  8 Li 2.78-2.90
Sb2 0.7997 0.6109 0.2360  8 Li 2.78-2.89
Bi1 0.1364 0.9329 0.9090  11 Li 2.90-3.10

**Polymorph energy (0 for the lowest one)**: 24 meV/atom
**Crystal system**: triclinic
**ΔE_f (raw)**: -0.54 eV per atom
**V**: 214.0 Å³/f.u.

Density functional theory data (PBE-GGA) for an optimized crystal structure of TiPS2.

Cell: 5.8805 5.8805 6.4883 Å, 63.05 63.05 90.00°
With the nearest neighbours (Å) after each atom.
Fractional coordinates of all 8 atoms:
S1 0.8750 0.9013 0.7500  2 Ti 2.33, 2 P 2.52
S2 0.3750 0.3487 0.7500  2 Ti 2.33, 2 P 2.52
S3 0.0987 0.6250 0.2500  2 Ti 2.33, 2 P 2.52
S4 0.6513 0.1250 0.2500  2 Ti 2.33, 2 P 2.52
P1 0.5000 0.5000 0.0000  4 S 2.52
P2 0.2500 0.7500 0.5000  4 S 2.52
Ti1 0.0000 0.0000 0.0000  4 S 2.33
Ti2 0.7500 0.2500 0.5000  4 S 2.33

**Crystal system**: tetragonal
**ΔE_f (raw)**: -0.06 eV per atom
**V**: 86.1 Å³/f.u.

Density functional theory data (PBE-GGA) for an optimized crystal structure of La6AgPt2Br3.

Cell: 4.3148 9.2260 10.1531 Å, 107.92 102.27 90.00°
With the nearest neighbours (Å) after each atom.
Fractional coordinates of all 12 atoms:
Br1 0.5000 0.5000 0.0000  6 La 3.24-3.41
Br2 0.8359 0.1684 0.6718  6 La 3.31-3.41
Br3 0.1641 0.8316 0.3282  6 La 3.31-3.41
Pt1 0.8336 0.6693 0.6672  6 La 2.91-2.95
Pt2 0.1664 0.3307 0.3328  6 La 2.91-2.95
La1 0.9876 0.7517 0.9751  1 Pt 2.91, 2 Ag 3.10, 2 Br 3.24
La2 0.6624 0.1110 0.3248  2 Pt 2.94, 1 Ag 3.06
La3 0.6784 0.5560 0.3567  3 Pt 2.92-2.95
La4 0.3376 0.8890 0.6752  2 Pt 2.94, 1 Ag 3.06
La5 0.0124 0.2483 0.0249  1 Pt 2.91, 2 Ag 3.10, 2 Br 3.24
La6 0.3216 0.4440 0.6433  3 Pt 2.92-2.95
Ag1 0.5000 0.0000 0.0000  6 La 3.06-3.10

**Crystal system**: monoclinic
**ΔE_f (raw)**: -1.12 eV per atom
**V**: 374.9 Å³/f.u.

Density functional theory data (PBE-GGA) for an optimized crystal structure of LaPmPtAu.

Cell: 5.2077 5.2077 5.2077 Å, 60.00 60.00 60.00°
With the nearest neighbours (Å) after each atom.
Fractional coordinates of all 4 atoms:
La1 0.5000 0.5000 0.5000  4 Au 3.19, 4 Pt 3.19
Au1 0.7500 0.7500 0.7500  4 La 3.19, 4 Pm 3.19
Pt1 0.2500 0.2500 0.2500  4 La 3.19, 4 Pm 3.19
Pm1 0.0000 0.0000 0.0000  4 Pt 3.19, 4 Au 3.19

**Polymorph energy (0 for the lowest one)**: 75 meV/atom
**Formation enthalpy at 0 K**: -0.918 eV per atom
**Crystal system**: cubic
**V**: 99.9 Å³/f.u.

Density functional theory data (PBE-GGA) for an optimized crystal structure of RbSb3Cl.

Cell: 6.2290 6.2290 6.2290 Å, 90.00 90.00 90.00°
With the nearest neighbours (Å) after each atom.
Fractional coordinates of all 5 atoms:
Rb1 0.0000 0.0000 0.0000  6 Sb 3.11
Sb1 0.0000 0.0000 0.5000  2 Rb 3.11
Sb2 0.5000 0.0000 0.0000  2 Rb 3.11
Sb3 0.0000 0.5000 0.0000  2 Rb 3.11
Cl1 0.5000 0.5000 0.5000  12 Sb 4.40

**Polymorph energy (0 for the lowest one)**: 1017 meV/atom
**Crystal system**: cubic
**ΔE_f (raw)**: 1.38 eV per atom
**V**: 241.7 Å³/f.u.

Density functional theory data (PBE-GGA) for an optimized crystal structure of GaCuBiPb2.

Cell: 5.3472 5.3472 4.6804 Å, 90.00 90.00 90.00°
With the nearest neighbours (Å) after each atom.
Fractional coordinates of all 5 atoms:
Pb1 0.0000 0.5000 0.0000  2 Cu 2.67
Pb2 0.5000 0.0000 0.0000  2 Cu 2.67
Cu1 0.0000 0.0000 0.0000  2 Ga 2.34
Ga1 0.0000 0.0000 0.5000  2 Cu 2.34
Bi1 0.5000 0.5000 0.5000  8 Pb 3.55, 4 Ga 3.78

**Formation enthalpy at 0 K**: 0.163 eV per atom
**Crystal system**: tetragonal
**V**: 133.8 Å³/f.u.

Density functional theory data (PBE-GGA) for an optimized crystal structure of LaTlTcAs2.

Cell: 4.8599 5.3094 4.8599 Å, 90.00 90.00 90.00°
With the nearest neighbours (Å) after each atom.
Fractional coordinates of all 5 atoms:
As1 0.5000 0.0000 0.0000  2 Tc 2.43
As2 0.0000 0.0000 0.5000  2 Tc 2.43
La1 0.5000 0.5000 0.5000  4 Tl 3.44, 8 As 3.60
Tl1 0.0000 0.5000 0.0000  2 Tc 2.65
Tc1 0.0000 0.0000 0.0000  4 As 2.43, 2 Tl 2.65

**Formation enthalpy at 0 K**: -0.042 eV per atom
**Crystal system**: tetragonal
**V**: 125.4 Å³/f.u.

Density functional theory data (PBE-GGA) for an optimized crystal structure of Tb4PmErS8.

Cell: 8.1093 8.1093 8.0893 Å, 59.92 59.92 60.00°
With the nearest neighbours (Å) after each atom.
Fractional coordinates of all 14 atoms:
Er1 0.9996 0.9996 0.0011  6 S 2.73-2.75
Tb1 0.5014 0.9995 0.4997  6 S 2.77-2.78
Tb2 0.9995 0.9995 0.4997  6 S 2.77-2.78
Tb3 0.6244 0.6244 0.1268  4 S 2.62-2.63
Tb4 0.9995 0.5014 0.4997  6 S 2.77-2.78
S1 0.7567 0.7567 0.7298  4 Tb 2.62-2.78
S2 0.7600 0.7600 0.2534  3 Tb 2.63-2.78, 1 Er 2.75
S3 0.2265 0.7600 0.2534  3 Tb 2.63-2.78, 1 Er 2.75
S4 0.2375 0.2375 0.7438  1 Pm 2.68, 1 Er 2.73, 2 Tb 2.77
S5 0.2375 0.7812 0.7438  1 Pm 2.68, 1 Er 2.73, 2 Tb 2.77
S6 0.7812 0.2375 0.7438  1 Pm 2.68, 1 Er 2.73, 2 Tb 2.77
S7 0.2406 0.2406 0.2782  1 Pm 2.67, 3 Tb 2.77
S8 0.7600 0.2265 0.2534  3 Tb 2.63-2.78, 1 Er 2.75
Pm1 0.3756 0.3756 0.8732  4 S 2.67-2.68

**Crystal system**: trigonal
**ΔE_f (raw)**: -1.93 eV per atom
**V**: 375.7 Å³/f.u.

Density functional theory data (PBE-GGA) for an optimized crystal structure of LiNpAs.

Cell: 3.6878 3.6878 7.7954 Å, 90.00 90.00 90.00°
With the nearest neighbours (Å) after each atom.
Fractional coordinates of all 6 atoms:
Li1 0.5000 0.0000 0.1349  5 As 2.68-2.70
Li2 0.0000 0.5000 0.8651  5 As 2.68-2.70
As1 0.5000 0.0000 0.7883  5 Li 2.68-2.70, 4 Np 2.91
As2 0.0000 0.5000 0.2117  5 Li 2.68-2.70, 4 Np 2.91
Np1 0.0000 0.0000 0.5000  4 Np 2.61, 4 As 2.91
Np2 0.5000 0.5000 0.5000  4 Np 2.61, 4 As 2.91

**Polymorph energy (0 for the lowest one)**: 0 meV/atom
**Formation enthalpy at 0 K**: -0.362 eV per atom
**Crystal system**: tetragonal
**V**: 53.0 Å³/f.u.

Density functional theory data (PBE-GGA) for an optimized crystal structure of LaEr6Tm2.

Cell: 5.0070 10.5847 10.5862 Å, 90.00 90.00 90.00°
With the nearest neighbours (Å) after each atom.
Fractional coordinates of all 18 atoms:
Er1 0.9999 0.3312 0.1689  4 Tm 3.49-3.58, 6 Er 3.51-3.54, 2 La 3.56
Er2 0.4999 0.1648 0.0002  8 Er 3.49-3.54, 3 Tm 3.50-3.54, 1 La 3.55
Er3 0.5001 0.8352 0.9998  8 Er 3.49-3.54, 3 Tm 3.50-3.54, 1 La 3.55
Er4 0.5000 0.5000 0.3351  8 Er 3.49-3.54, 3 Tm 3.50-3.55, 1 La 3.55
Er5 0.4999 0.1687 0.6690  4 Tm 3.49-3.58, 6 Er 3.51-3.54, 2 La 3.56
Er6 0.5000 0.5000 0.6649  8 Er 3.49-3.54, 3 Tm 3.50-3.55, 1 La 3.55
Er7 0.0001 0.6688 0.8311  4 Tm 3.49-3.58, 6 Er 3.51-3.54, 2 La 3.56
Er8 0.0000 0.0000 0.1648  8 Er 3.49-3.54, 3 Tm 3.50-3.55, 1 La 3.55
Er9 0.0001 0.6649 0.4998  8 Er 3.49-3.54, 3 Tm 3.50-3.54, 1 La 3.55
Er10 0.5001 0.8313 0.3310  4 Tm 3.49-3.58, 6 Er 3.51-3.54, 2 La 3.56
Er11 0.9999 0.3351 0.5002  8 Er 3.49-3.54, 3 Tm 3.50-3.54, 1 La 3.55
Er12 0.0000 0.0000 0.8352  8 Er 3.49-3.54, 3 Tm 3.50-3.55, 1 La 3.55
La1 0.5000 0.5000 0.0000  8 Er 3.55-3.56, 4 Tm 3.56
La2 0.0000 0.0000 0.5000  8 Er 3.55-3.56, 4 Tm 3.56
Tm1 0.0001 0.6692 0.1689  10 Er 3.49-3.58, 2 La 3.56
Tm2 0.5001 0.8309 0.6690  10 Er 3.49-3.58, 2 La 3.56
Tm3 0.9999 0.3308 0.8311  10 Er 3.49-3.58, 2 La 3.56
Tm4 0.4999 0.1691 0.3310  10 Er 3.49-3.58, 2 La 3.56

**Polymorph energy (0 for the lowest one)**: 29 meV/atom
**Formation enthalpy at 0 K**: 0.030 eV per atom
**Crystal system**: tetragonal
**V**: 280.5 Å³/f.u.

Density functional theory data (PBE-GGA) for an optimized crystal structure of ErTm3Bi3.

Cell: 9.2901 9.2901 9.2901 Å, 90.00 90.00 90.00°
With the nearest neighbours (Å) after each atom.
Fractional coordinates of all 28 atoms:
Bi1 0.3754 0.5005 0.7510  6 Tm 3.12-3.31, 2 Er 3.13-3.31
Bi2 0.7490 0.6246 0.0005  6 Tm 3.12-3.31, 2 Er 3.13-3.31
Bi3 0.2490 0.8754 0.9995  6 Tm 3.12-3.31, 2 Er 3.13-3.31
Bi4 0.5005 0.7510 0.3754  6 Tm 3.12-3.31, 2 Er 3.13-3.31
Bi5 0.0005 0.7490 0.6246  6 Tm 3.12-3.31, 2 Er 3.13-3.31
Bi6 0.8754 0.9995 0.2490  6 Tm 3.12-3.31, 2 Er 3.13-3.31
Bi7 0.6246 0.0005 0.7490  6 Tm 3.12-3.31, 2 Er 3.13-3.31
Bi8 0.9995 0.2490 0.8754  6 Tm 3.12-3.31, 2 Er 3.13-3.31
Bi9 0.1246 0.4995 0.2510  6 Tm 3.12-3.31, 2 Er 3.13-3.31
Bi10 0.7510 0.3754 0.5005  6 Tm 3.12-3.31, 2 Er 3.13-3.31
Bi11 0.2510 0.1246 0.4995  6 Tm 3.12-3.31, 2 Er 3.13-3.31
Bi12 0.4995 0.2510 0.1246  6 Tm 3.12-3.31, 2 Er 3.13-3.31
Tm1 0.8244 0.6756 0.3244  6 Bi 3.13-3.30
Tm2 0.6762 0.6762 0.6762  6 Bi 3.13-3.31
Tm3 0.6756 0.3244 0.8244  6 Bi 3.13-3.30
Tm4 0.9249 0.9249 0.9249  6 Bi 3.12-3.31
Tm5 0.3244 0.8244 0.6756  6 Bi 3.13-3.30
Tm6 0.1762 0.8238 0.3238  6 Bi 3.13-3.31
Tm7 0.5751 0.0751 0.4249  6 Bi 3.12-3.31
Tm8 0.8238 0.3238 0.1762  6 Bi 3.13-3.31
Tm9 0.1756 0.1756 0.1756  6 Bi 3.13-3.30
Tm10 0.0751 0.4249 0.5751  6 Bi 3.12-3.31
Tm11 0.4249 0.5751 0.0751  6 Bi 3.12-3.31
Tm12 0.3238 0.1762 0.8238  6 Bi 3.13-3.31
Er1 0.5737 0.9263 0.0737  6 Bi 3.13-3.31
Er2 0.9263 0.0737 0.5737  6 Bi 3.13-3.31
Er3 0.0737 0.5737 0.9263  6 Bi 3.13-3.31
Er4 0.4263 0.4263 0.4263  6 Bi 3.13-3.31

**Polymorph energy (0 for the lowest one)**: 0 meV/atom
**Formation enthalpy at 0 K**: -0.645 eV per atom
**Crystal system**: cubic
**V**: 200.4 Å³/f.u.

Density functional theory data (PBE-GGA) for an optimized crystal structure of ZrIr2Cl.

Cell: 5.1852 3.6682 3.6682 Å, 90.00 90.00 90.00°
With the nearest neighbours (Å) after each atom.
Fractional coordinates of all 4 atoms:
Ir1 0.0000 0.0000 0.0000  4 Ir 2.59
Ir2 0.0000 0.5000 0.5000  4 Ir 2.59
Zr1 0.5000 0.5000 0.0000  4 Cl 2.59
Cl1 0.5000 0.0000 0.5000  4 Zr 2.59

**Polymorph energy (0 for the lowest one)**: 406 meV/atom
**Crystal system**: tetragonal
**ΔE_f (raw)**: 0.10 eV per atom
**V**: 69.8 Å³/f.u.

Density functional theory data (PBE-GGA) for an optimized crystal structure of BaTb2TcN4.

Cell: 3.4998 6.4522 12.1523 Å, 90.00 90.00 105.74°
With the nearest neighbours (Å) after each atom.
Fractional coordinates of all 16 atoms:
N1 0.6064 0.2127 0.2500  2 Tc 2.05
N2 0.0000 0.0000 0.5000  4 Tb 2.43
N3 0.7440 0.4880 0.6104  1 Tc 1.88
N4 0.0000 0.0000 0.0000  4 Tb 2.43
N5 0.7440 0.4880 0.8896  1 Tc 1.88
N6 0.3936 0.7873 0.7500  2 Tc 2.05
N7 0.2560 0.5120 0.3896  1 Tc 1.88
N8 0.2560 0.5120 0.1104  1 Tc 1.88
Tb1 0.3709 0.7419 0.5413  6 N 2.33-2.55
Tb2 0.3709 0.7419 0.9587  6 N 2.33-2.55
Tb3 0.6291 0.2581 0.4587  6 N 2.33-2.55
Tb4 0.6291 0.2581 0.0413  6 N 2.33-2.55
Tc1 0.1916 0.3831 0.2500  4 N 1.88-2.05
Tc2 0.8084 0.6169 0.7500  4 N 1.88-2.05
Ba1 0.9297 0.8593 0.2500  2 N 2.81
Ba2 0.0703 0.1407 0.7500  2 N 2.81

**Crystal system**: orthorhombic
**ΔE_f (raw)**: -0.97 eV per atom
**V**: 132.1 Å³/f.u.

Density functional theory data (PBE-GGA) for an optimized crystal structure of Ru2RhCl.

Cell: 4.3552 4.3552 4.3552 Å, 60.00 60.00 60.00°
With the nearest neighbours (Å) after each atom.
Fractional coordinates of all 4 atoms:
Cl1 0.0000 0.0000 0.0000  8 Ru 2.67
Rh1 0.5000 0.5000 0.5000  8 Ru 2.67
Ru1 0.7500 0.7500 0.7500  4 Cl 2.67, 4 Rh 2.67
Ru2 0.2500 0.2500 0.2500  4 Rh 2.67, 4 Cl 2.67

**Polymorph energy (0 for the lowest one)**: 518 meV/atom
**Crystal system**: cubic
**ΔE_f (raw)**: 0.86 eV per atom
**V**: 58.4 Å³/f.u.

Density functional theory data (PBE-GGA) for an optimized crystal structure of EuLuBiPb.

Cell: 5.5496 5.5496 5.5496 Å, 60.00 60.00 60.00°
With the nearest neighbours (Å) after each atom.
Fractional coordinates of all 4 atoms:
Eu1 0.0000 0.0000 0.0000  4 Pb 3.40, 4 Bi 3.40
Bi1 0.2500 0.2500 0.2500  4 Lu 3.40, 4 Eu 3.40
Pb1 0.7500 0.7500 0.7500  4 Lu 3.40, 4 Eu 3.40
Lu1 0.5000 0.5000 0.5000  4 Pb 3.40, 4 Bi 3.40

**Formation enthalpy at 0 K**: -0.452 eV per atom
**Crystal system**: cubic
**V**: 120.9 Å³/f.u.

Density functional theory data (PBE-GGA) for an optimized crystal structure of Zr2TlCu.

Cell: 9.5278 9.5278 9.5278 Å, 19.69 19.69 19.69°
With the nearest neighbours (Å) after each atom.
Fractional coordinates of all 4 atoms:
Zr1 0.9895 0.9895 0.9895  3 Cu 2.78
Zr2 0.5105 0.5105 0.5105  3 Cu 2.78
Cu1 0.2500 0.2500 0.2500  6 Zr 2.78
Tl1 0.7500 0.7500 0.7500  6 Zr 3.23, 6 Tl 3.26

**Formation enthalpy at 0 K**: 0.115 eV per atom
**Crystal system**: trigonal
**V**: 85.9 Å³/f.u.

Density functional theory data (PBE-GGA) for an optimized crystal structure of ReSN2O.

Cell: 3.6941 3.6941 3.4520 Å, 90.00 90.00 90.00°
With the nearest neighbours (Å) after each atom.
Fractional coordinates of all 5 atoms:
S1 0.0000 0.0000 0.0000  2 O 1.73, 4 N 1.85
Re1 0.5000 0.5000 0.5000  8 N 2.53, 4 O 2.61
O1 0.0000 0.0000 0.5000  2 S 1.73
N1 0.0000 0.5000 0.0000  2 S 1.85
N2 0.5000 0.0000 0.0000  2 S 1.85

**Crystal system**: tetragonal
**ΔE_f (raw)**: 1.71 eV per atom
**V**: 47.1 Å³/f.u.

Density functional theory data (PBE-GGA) for an optimized crystal structure of MgCdH2Ir.

Cell: 3.7335 6.4862 3.7335 Å, 90.00 90.00 90.00°
With the nearest neighbours (Å) after each atom.
Fractional coordinates of all 5 atoms:
Ir1 0.5000 0.5000 0.5000  4 Cd 2.64
Cd1 0.0000 0.5000 0.0000  4 Ir 2.64
Mg1 0.0000 0.0000 0.0000  4 H 1.87
H1 0.0000 0.0000 0.5000  2 Mg 1.87
H2 0.5000 0.0000 0.0000  2 Mg 1.87

**DFT total energy**: -2.87 eV per atom
**Crystal system**: tetragonal
**V**: 90.4 Å³/f.u.

Density functional theory data (PBE-GGA) for an optimized crystal structure of NiSnBiPb2.

Cell: 5.2694 5.2694 5.0027 Å, 90.00 90.00 90.00°
With the nearest neighbours (Å) after each atom.
Fractional coordinates of all 5 atoms:
Sn1 0.0000 0.0000 0.5000  2 Ni 2.50
Bi1 0.5000 0.5000 0.5000  8 Pb 3.63, 4 Sn 3.73
Pb1 0.0000 0.5000 0.0000  2 Ni 2.63
Pb2 0.5000 0.0000 0.0000  2 Ni 2.63
Ni1 0.0000 0.0000 0.0000  2 Sn 2.50, 4 Pb 2.63

**Formation enthalpy at 0 K**: 0.073 eV per atom
**Crystal system**: tetragonal
**V**: 138.9 Å³/f.u.

Density functional theory data (PBE-GGA) for an optimized crystal structure of TiMnSi.

Cell: 5.2185 4.2458 7.4306 Å, 90.00 103.28 90.00°
With the nearest neighbours (Å) after each atom.
Fractional coordinates of all 12 atoms:
Mn1 0.7571 0.5000 0.5360  4 Si 2.37-2.52, 3 Ti 2.51-2.57, 1 Mn 2.61
Mn2 0.2429 0.5000 0.4640  4 Si 2.37-2.52, 3 Ti 2.51-2.57, 1 Mn 2.61
Mn3 0.7571 0.0000 0.0360  4 Si 2.37-2.52, 3 Ti 2.51-2.57, 1 Mn 2.61
Mn4 0.2429 0.0000 0.9640  4 Si 2.37-2.52, 3 Ti 2.51-2.57, 1 Mn 2.61
Ti1 0.3552 0.5000 0.1443  3 Mn 2.51-2.57, 5 Si 2.55-2.79
Ti2 0.6448 0.0000 0.3557  3 Mn 2.51-2.57, 5 Si 2.55-2.79
Ti3 0.6448 0.5000 0.8557  3 Mn 2.51-2.57, 5 Si 2.55-2.79
Ti4 0.3552 0.0000 0.6443  3 Mn 2.51-2.57, 5 Si 2.55-2.79
Si1 0.1429 0.5000 0.7781  4 Mn 2.37-2.52, 1 Ti 2.55, 2 Si 2.57
Si2 0.8571 0.5000 0.2219  4 Mn 2.37-2.52, 1 Ti 2.55, 2 Si 2.57
Si3 0.1429 0.0000 0.2781  4 Mn 2.37-2.52, 1 Ti 2.55, 2 Si 2.57
Si4 0.8571 0.0000 0.7219  4 Mn 2.37-2.52, 1 Ti 2.55, 2 Si 2.57

**Crystal system**: monoclinic
**ΔE_f (raw)**: -0.45 eV per atom
**V**: 40.1 Å³/f.u.